Record 1
Below is a relaxed structure of YHf2ZnN, with properties calculated at the PBE-GGA level.

Structure (extended XYZ):
```
5
Lattice="-3.061 -2.726 1.628 2.167 -3.446 -1.697 2.492 -0.406 4.007" Properties=species:S:1:pos:R:3 pbc="T T T"
Zn 0.799 -3.289 1.969
Y 1.246 -0.203 2.003
Hf 1.083 -1.723 -0.848
N 0.000 0.000 0.000
Hf -1.531 -1.363 0.814
```

Computed properties:
energy = -7.928 eV per atom
crystal system = tetragonal
formation energy without anion corrections = -734.2 meV/atom
calculated volume = 18.42 A^3/atom
total magnetization = 0.00 μB/f.u.

=====

Record 2
Below is a relaxed structure of La2Er4Tm5, with properties calculated at the PBE-GGA level.

Structure (extended XYZ):
```
11
Lattice="-3.253 -0.045 -1.253 -0.394 -5.464 1.219 -4.842 1.356 17.371" Properties=species:S:1:pos:R:3 pbc="T T T"
Er -7.736 -1.789 15.297
Tm -3.136 -0.825 8.171
Tm -5.817 -0.171 10.257
Tm -1.627 -0.022 -0.627
Tm -2.672 -3.982 7.079
Er -1.510 -4.731 4.090
La -3.540 -1.633 4.399
Er -0.753 -2.364 2.039
La -4.949 -2.520 12.937
Tm -5.353 -3.328 9.165
Er -6.979 0.578 13.246
```

Computed properties:
distance to the lowest polymorph of the same formula = 0.0 meV per atom
energy = -4.529 eV per atom
crystal system = monoclinic
calculated volume = 31.63 A^3/atom
total magnetization = 0.00 μB/f.u.

=====

Record 3
Below is a relaxed structure of ZrTa4Hg, with properties calculated at the PBE-GGA level.

Structure (extended XYZ):
```
6
Lattice="1.506 -5.269 0.887 -2.256 -4.077 -3.018 3.064 -2.684 -3.772" Properties=species:S:1:pos:R:3 pbc="T T T"
Hg 0.000 0.000 0.000
Zr 1.735 -9.022 -4.427
Ta -0.237 -6.541 -3.710
Ta 0.873 -4.536 -2.226
Ta 1.613 -7.127 -1.789
Ta 2.379 -5.856 -4.080
```

Computed properties:
energy = -9.107 eV per atom
crystal system = cubic
calculated volume = 20.16 A^3/atom
total magnetization = 0.00 μB/f.u.

=====

Record 4
Below is a relaxed structure of PmPr2UN4, with properties calculated at the PBE-GGA level.

Structure (extended XYZ):
```
8
Lattice="-0.255 -3.544 -0.510 5.423 0.035 -2.957 1.005 -0.948 6.079" Properties=species:S:1:pos:R:3 pbc="T T T"
N 4.418 -0.178 -0.977
Pm 2.584 -1.754 -1.733
N 4.923 -2.493 2.224
Pr 3.214 -0.456 1.561
U 0.000 0.000 0.000
Pr 0.375 -2.246 2.784
N 1.249 -1.964 0.387
N 2.009 -0.735 4.099
```

Computed properties:
energy = -8.771 eV per atom
crystal system = monoclinic
formation energy without anion corrections = -1408.3 meV/atom
calculated volume = 16.33 A^3/atom
total magnetization = 0.00 μB/f.u.

=====

Record 5
Below is a relaxed structure of TiBi2Sb, with properties calculated at the PBE-GGA level.

Structure (extended XYZ):
```
8
Lattice="6.591 0.000 0.000 0.000 6.591 0.000 3.296 3.296 7.091" Properties=species:S:1:pos:R:3 pbc="T T T"
Sb 0.000 0.000 0.000
Bi 8.239 7.992 5.318
Bi 4.943 5.190 5.318
Sb 6.591 3.296 3.545
Bi 4.697 1.648 1.773
Bi 1.894 4.943 1.773
Ti 3.296 6.591 3.545
Ti 3.296 3.296 0.000
```

Computed properties:
energy = -4.540 eV per atom
crystal system = tetragonal
formation energy without anion corrections = 404.7 meV/atom
calculated volume = 38.51 A^3/atom
total magnetization = 1.16 μB/f.u.

=====

Record 6
Below is a relaxed structure of VPt5Rh2, with properties calculated at the PBE-GGA level.

Structure (extended XYZ):
```
16
Lattice="-0.930 4.535 4.840 -5.119 -3.599 2.389 6.525 -3.263 -0.323" Properties=species:S:1:pos:R:3 pbc="T T T"
Pt -3.024 0.468 3.615
V -1.274 -0.929 5.260
Rh -1.980 -0.674 1.534
Pt 1.341 2.578 3.891
V 1.751 -1.398 1.646
Rh -4.747 -1.461 3.809
Rh -1.302 2.397 3.421
Pt -0.865 -4.905 3.015
Pt -0.469 -2.874 1.187
Pt 0.000 0.000 0.000
Pt 0.062 0.094 3.143
Pt 0.415 -2.421 3.763
Pt -2.316 -2.588 3.395
Pt 0.946 0.547 5.719
Rh -4.069 1.610 5.696
Pt 2.793 0.261 3.511
```

Computed properties:
energy = -6.781 eV per atom
crystal system = tetragonal
calculated volume = 15.59 A^3/atom
total magnetization = 0.43 μB/f.u.

=====

What did the fourth record say?
Below is a relaxed structure of PmPr2UN4, with properties calculated at the PBE-GGA level.

Structure (extended XYZ):
```
8
Lattice="-0.255 -3.544 -0.510 5.423 0.035 -2.957 1.005 -0.948 6.079" Properties=species:S:1:pos:R:3 pbc="T T T"
N 4.418 -0.178 -0.977
Pm 2.584 -1.754 -1.733
N 4.923 -2.493 2.224
Pr 3.214 -0.456 1.561
U 0.000 0.000 0.000
Pr 0.375 -2.246 2.784
N 1.249 -1.964 0.387
N 2.009 -0.735 4.099
```

Computed properties:
energy = -8.771 eV per atom
crystal system = monoclinic
formation energy without anion corrections = -1408.3 meV/atom
calculated volume = 16.33 A^3/atom
total magnetization = 0.00 μB/f.u.

=====

Q: Which value of energy does entry 2 give?
A: -4.529 eV per atom